{"formula": "AcSi2Ni5", "functional": "PBE-GGA", "state": "relaxed", "cell": [[-1.8715, 3.3006, 4.7693], [1.8715, -3.3006, 4.7693], [1.8715, 3.3006, -4.7693]], "species": ["Ac", "Si", "Si", "Ni", "Ni", "Ni", "Ni", "Ni"], "frac_coords": [[0.0000, 0.0000, 0.0000], [0.2655, 0.7655, 0.5000], [0.7345, 0.2345, 0.5000], [0.1575, 0.3439, 0.8136], [0.4698, 0.6561, 0.8136], [0.5000, 0.0000, 0.5000], [0.5302, 0.3439, 0.1864], [0.8425, 0.6561, 0.1864]], "spacegroup": "Immm (71)", "e_form_raw_ev_per_atom": -0.501, "dos_ef_per_ev_cell": 5.0}